Entry 1:
The following is a PBE calculation of a relaxed AcBeN crystal, from the Alexandria database.

Computed properties:
uncorrected formation energy = -1.23 eV/f.u.
energy relative to the lowest polymorph listed for this composition = 1.18 eV per formula unit
volume = 218 Å³/cell
magnetization = 0.00 μB per atom

Cell lengths 3.191, 5.374, 12.688 Å; angles 90.00, 90.00, 90.00 degrees
Atoms (fractional coordinates):
N  0.250  0.750  0.191
N  0.750  0.250  0.309
N  0.750  0.250  0.809
N  0.250  0.750  0.691
Be  0.750  0.750  0.137
Be  0.250  0.250  0.863
Be  0.250  0.250  0.363
Be  0.750  0.750  0.637
Ac  0.750  0.750  0.360
Ac  0.750  0.750  0.860
Ac  0.250  0.250  0.140
Ac  0.250  0.250  0.640

---

Entry 2:
The following is a PBE calculation of a relaxed Na2MgAgI5 crystal, from the Alexandria database.

Computed properties:
uncorrected formation energy = -8.34 eV/f.u.
volume = 676 Å³/cell
magnetization = 0.00 μB per atom

Cell lengths 4.416, 9.812, 16.010 Å; angles 90.00, 90.00, 103.00 degrees
Atoms (fractional coordinates):
I  0.494  0.987  0.272
I  0.399  0.797  0.012
I  0.908  0.817  0.530
I  0.257  0.513  0.395
I  0.752  0.504  0.150
I  0.092  0.183  0.030
I  0.743  0.487  0.895
I  0.506  0.013  0.772
I  0.601  0.203  0.512
I  0.248  0.496  0.650
Na  0.088  0.176  0.368
Na  0.080  0.160  0.653
Na  0.912  0.824  0.868
Na  0.920  0.840  0.153
Ag  0.411  0.822  0.417
Ag  0.589  0.178  0.917
Mg  0.755  0.510  0.527
Mg  0.245  0.490  0.027